No. 1
The following is a PBE-GGA calculation of a relaxed Pr8Ga3SeI4 crystal, from Alexandria via LeMat-Bulk.

```
data_Pr8Ga3SeI4
_symmetry_space_group_name_H-M 'R -3 m'
_symmetry_Int_Tables_number 166
_symmetry_space_group_name_Hall '-R 3 2"'
_cell_length_a 8.8009
_cell_length_b 8.8009
_cell_length_c 23.0465
_cell_angle_alpha 90.00
_cell_angle_beta 90.00
_cell_angle_gamma 120.00
loop_
_atom_site_label
_atom_site_type_symbol
_atom_site_fract_x
_atom_site_fract_y
_atom_site_fract_z
Pr1 Pr 0.0000 0.0000 0.2358
Pr2 Pr 0.0052 0.5026 0.7651
Ga1 Ga 0.0000 0.5000 0.5000
Se1 Se 0.0000 0.0000 0.5000
I1 I 0.0000 0.0000 0.0000
I2 I 0.0000 0.5000 0.0000
```

Computed properties:
The formation energy from raw total energies comes out at -0.957 eV per atom. The calculation puts the density of states at the Fermi level at 26.08 states/eV/cell.



No. 2
The following is a PBE-GGA calculation of a relaxed Pr4GaSeI2 crystal, from Alexandria via LeMat-Bulk.

```
data_Pr4GaSeI2
_symmetry_space_group_name_H-M 'P 1 2/m 1'
_symmetry_Int_Tables_number 10
_symmetry_space_group_name_Hall '-P 2y'
_cell_length_a 7.4930
_cell_length_b 4.4015
_cell_length_c 8.1775
_cell_angle_alpha 90.00
_cell_angle_beta 108.50
_cell_angle_gamma 90.00
loop_
_atom_site_label
_atom_site_type_symbol
_atom_site_fract_x
_atom_site_fract_y
_atom_site_fract_z
Pr1 Pr 0.2301 0.0000 0.2021
Pr2 Pr 0.2625 0.5000 0.8014
Ga1 Ga 0.0000 0.5000 0.0000
Se1 Se 0.5000 0.0000 0.0000
I1 I 0.0000 0.0000 0.5000
I2 I 0.5000 0.5000 0.5000
```

Computed properties:
The formation energy from raw total energies comes out at -1.118 eV per atom. The calculation puts the density of states at the Fermi level at 3.83 states/eV/cell.



No. 3
The following is a PBE-GGA calculation of a relaxed Pr6GaSi2I3 crystal, from Alexandria via LeMat-Bulk.

```
data_Pr6GaSi2I3
_symmetry_space_group_name_H-M 'C 1 2/m 1'
_symmetry_Int_Tables_number 12
_symmetry_space_group_name_Hall '-C 2y'
_cell_length_a 7.6030
_cell_length_b 13.1733
_cell_length_c 8.1176
_cell_angle_alpha 90.00
_cell_angle_beta 108.17
_cell_angle_gamma 90.00
loop_
_atom_site_label
_atom_site_type_symbol
_atom_site_fract_x
_atom_site_fract_y
_atom_site_fract_z
Pr1 Pr 0.2310 0.0000 0.2025
Pr2 Pr 0.2356 0.3316 0.2024
Ga1 Ga 0.0000 0.5000 0.0000
Si1 Si 0.0000 0.1664 0.0000
I1 I 0.0000 0.0000 0.5000
I2 I 0.0000 0.3335 0.5000
```

Computed properties:
The formation energy from raw total energies comes out at -0.892 eV per atom. The calculation puts the density of states at the Fermi level at 9.77 states/eV/cell.



No. 4
The following is a PBE-GGA calculation of a relaxed Pr8GaSi3I4 crystal, from Alexandria via LeMat-Bulk.

```
data_Pr8GaSi3I4
_symmetry_space_group_name_H-M 'R -3 m'
_symmetry_Int_Tables_number 166
_symmetry_space_group_name_Hall '-R 3 2"'
_cell_length_a 8.7645
_cell_length_b 8.7645
_cell_length_c 23.2120
_cell_angle_alpha 90.00
_cell_angle_beta 90.00
_cell_angle_gamma 120.00
loop_
_atom_site_label
_atom_site_type_symbol
_atom_site_fract_x
_atom_site_fract_y
_atom_site_fract_z
Pr1 Pr 0.0000 0.0000 0.2330
Pr2 Pr 0.0020 0.5010 0.7660
Ga1 Ga 0.0000 0.0000 0.5000
Si1 Si 0.0000 0.5000 0.5000
I1 I 0.0000 0.0000 0.0000
I2 I 0.0000 0.5000 0.0000
```

Computed properties:
The formation energy from raw total energies comes out at -0.906 eV per atom. The calculation puts the density of states at the Fermi level at 22.85 states/eV/cell.